PaMn3Ge3 | PBE-GGA | relaxed

Output
Energy above the most stable polymorph in this dataset   0.632 eV per atom
Energy of formation from the pure elements   1.10 eV per atom
N(E_F)   11.269 states/eV/f.u.

Unit cell a=7.8961 b=7.8961 c=7.8961 alpha=60.00 beta=60.00 gamma=60.00
Sites, in units of the cell vectors:
Pa1 0.2500 0.2500 0.2500
Pa2 0.7500 0.7500 0.7500
Mn1 0.1395 0.1395 0.8605
Mn2 0.1395 0.8605 0.1395
Mn3 0.1395 0.8605 0.8605
Mn4 0.8605 0.1395 0.1395
Mn5 0.8605 0.1395 0.8605
Mn6 0.8605 0.8605 0.1395
Ge1 0.3378 0.3378 0.6622
Ge2 0.3378 0.6622 0.3378
Ge3 0.3378 0.6622 0.6622
Ge4 0.6622 0.3378 0.3378
Ge5 0.6622 0.3378 0.6622
Ge6 0.6622 0.6622 0.3378

***

LaCrIr2 | PBE-GGA | relaxed

Output
Energy above the most stable polymorph in this dataset   0.248 eV per atom
Energy of formation from the pure elements   0.02 eV per atom
N(E_F)   3.758 states/eV/f.u.

Unit cell a=4.9398 b=4.9398 c=4.9398 alpha=127.49 beta=127.49 gamma=77.45
Sites, in units of the cell vectors:
La1 0.0000 0.0000 0.0000
Cr1 0.5000 0.5000 0.0000
Ir1 0.2500 0.7500 0.5000
Ir2 0.7500 0.2500 0.5000